(1)
This record from the Alexandria database describes a relaxed structure of YCuTc2. The functional is PBE-GGA.

The volume comes out at 66.1 Å³/f.u. Its formation energy is 0.49 eV/atom. The value obtained for the distance to the lowest polymorph of the same formula is 467 meV per atom. The total energy comes out at -7.333 eV per atom.

a = 2.758 Å, b = 2.758 Å, c = 8.682 Å
α = 90.00°, β = 90.00°, γ = 90.00°
Space group P4/mmm (No. 123)
Inequivalent atoms, fractional coordinates:
1 Y 0.000 0.000 0.000 x1
2 Cu 0.000 0.000 0.500 x1
3 Tc 0.500 0.500 0.286 x2

---

(2)
This record from the Alexandria database describes a relaxed structure of CsRb2BaCl6. The functional is PBE-GGA.

The volume comes out at 484.2 Å³/f.u. The value obtained for the formation energy without anion corrections is -1682 meV per atom. The total energy comes out at -3.261 eV per atom.

a = 12.465 Å, b = 12.465 Å, c = 12.465 Å
α = 90.00°, β = 90.00°, γ = 90.00°
Space group Fm-3m (No. 225)
Inequivalent atoms, fractional coordinates:
1 Cs 0.000 0.000 0.000 x4
2 Rb 0.250 0.250 0.250 x8
3 Ba 0.000 0.000 0.500 x4
4 Cl 0.000 0.000 0.260 x24

---

(3)
This record from the Alexandria database describes a relaxed structure of Sr2CuMoAs. The functional is PBE-GGA.

The volume comes out at 154.4 Å³/f.u. Its formation energy is 0.58 eV/atom. The total energy comes out at -4.012 eV per atom.

a = 5.930 Å, b = 5.930 Å, c = 4.390 Å
α = 90.00°, β = 90.00°, γ = 90.00°
Space group P4/mmm (No. 123)
Inequivalent atoms, fractional coordinates:
1 Sr 0.000 0.500 0.000 x2
2 Cu 0.000 0.000 0.000 x1
3 Mo 0.500 0.500 0.500 x1
4 As 0.000 0.000 0.500 x1

---

(4)
This record from the Alexandria database describes a relaxed structure of KSi2Ag. The functional is PBE-GGA.

The volume comes out at 82.7 Å³/f.u. The value obtained for the formation energy without anion corrections is 672 meV per atom. The value obtained for the distance to the lowest polymorph of the same formula is 515 meV per atom. The total energy comes out at -3.026 eV per atom.

a = 6.916 Å, b = 6.916 Å, c = 6.916 Å
α = 90.00°, β = 90.00°, γ = 90.00°
Space group Fm-3m (No. 225)
Inequivalent atoms, fractional coordinates:
1 K 0.000 0.000 0.000 x4
2 Si 0.250 0.250 0.250 x8
3 Ag 0.000 0.000 0.500 x4

---

(5)
This record from the Alexandria database describes a relaxed structure of RbLaNb2Ru. The functional is PBE-GGA.

The volume comes out at 140.8 Å³/f.u. Its formation energy is 2.38 eV/atom. The total energy comes out at -4.680 eV per atom.

a = 4.993 Å, b = 4.993 Å, c = 5.650 Å
α = 90.00°, β = 90.00°, γ = 90.00°
Space group P4/mmm (No. 123)
Inequivalent atoms, fractional coordinates:
1 Rb 0.000 0.000 0.000 x1
2 La 0.000 0.000 0.500 x1
3 Nb 0.000 0.500 0.500 x2
4 Ru 0.500 0.500 0.000 x1

---

(6)
This record from the Alexandria database describes a relaxed structure of GeIrN. The functional is PBE-GGA.

The volume comes out at 38.1 Å³/f.u. The value obtained for the formation energy without anion corrections is 343 meV per atom. The value obtained for the distance to the lowest polymorph of the same formula is 86 meV per atom. The total energy comes out at -6.925 eV per atom.

a = 2.870 Å, b = 2.954 Å, c = 4.494 Å
α = 90.00°, β = 90.00°, γ = 90.00°
Space group Pmm2 (No. 25)
Inequivalent atoms, fractional coordinates:
1 Ge 0.000 0.000 0.000 x1
2 Ir 0.500 0.500 0.373 x1
3 N 0.000 0.500 0.703 x1

---

(7)
This record from the Alexandria database describes a relaxed structure of K2ReP. The functional is PBE-GGA.

The volume comes out at 133.2 Å³/f.u. Its formation energy is 0.18 eV/atom. The value obtained for the distance to the lowest polymorph of the same formula is 0 meV per atom. The total energy comes out at -4.836 eV per atom.

a = 6.906 Å, b = 3.984 Å, c = 9.920 Å
α = 90.00°, β = 102.51°, γ = 90.00°
Space group Cm (No. 8)
Inequivalent atoms, fractional coordinates:
1 K 0.000 0.000 0.000 x2
2 K 0.167 0.000 0.541 x2
3 Re 0.417 0.000 0.270 x2
4 P 0.250 0.500 0.270 x2

---

(8)
This record from the Alexandria database describes a relaxed structure of Tb2ZnPd3. The functional is PBE-GGA.

The volume comes out at 119.1 Å³/f.u. Its formation energy is -0.82 eV/atom. The value obtained for the distance to the lowest polymorph of the same formula is 0 meV per atom. The total energy comes out at -5.171 eV per atom.

a = 7.176 Å, b = 3.852 Å, c = 17.241 Å
α = 90.00°, β = 90.00°, γ = 90.00°
Space group Pnma (No. 62)
Inequivalent atoms, fractional coordinates:
1 Tb 0.108 0.250 0.209 x4
2 Tb 0.160 0.250 0.430 x4
3 Zn 0.012 0.750 0.060 x4
4 Pd 0.088 0.250 0.655 x4
5 Pd 0.198 0.250 0.814 x4
6 Pd 0.246 0.750 0.552 x4

---

(9)
This record from the Alexandria database describes a relaxed structure of Tm8Te4P3Au. The functional is PBE-GGA.

The volume comes out at 406.8 Å³/f.u. The value obtained for the formation energy without anion corrections is -1349 meV per atom. The total energy comes out at -5.589 eV per atom.

a = 8.2501 Å, b = 8.2501 Å, c = 20.7057 Å
α = 90.00°, β = 90.00°, γ = 120.00°
Space group R-3m (No. 166, hexagonal axes)
Inequivalent atoms, fractional coordinates:
1 Tm 0.0000 0.0000 0.2360 x6
2 Tm 0.0066 0.5033 0.7620 x18
3 Te 0.0000 0.0000 0.0000 x3
4 Te 0.0000 0.5000 0.0000 x9
5 P 0.0000 0.5000 0.5000 x9
6 Au 0.0000 0.0000 0.5000 x3

---

(10)
This record from the Alexandria database describes a relaxed structure of Co2NiHg. The functional is PBE-GGA.

The volume comes out at 53.4 Å³/f.u. Its formation energy is 0.34 eV/atom. The total energy comes out at -4.734 eV per atom.

a = 3.796 Å, b = 3.796 Å, c = 7.416 Å
α = 90.00°, β = 90.00°, γ = 90.00°
Space group I-4m2 (No. 119)
Inequivalent atoms, fractional coordinates:
1 Co 0.000 0.000 0.000 x2
2 Co 0.000 0.500 0.250 x2
3 Ni 0.000 0.000 0.500 x2
4 Hg 0.000 0.500 0.750 x2

---

(11)
This record from the Alexandria database describes a relaxed structure of Sc4GaSnH. The functional is PBE-GGA.

The volume comes out at 136.1 Å³/f.u. The total energy comes out at -5.644 eV per atom.

a = 5.923 Å, b = 15.460 Å, c = 5.946 Å
α = 90.00°, β = 90.00°, γ = 90.00°
Space group Cmcm (No. 63)
Inequivalent atoms, fractional coordinates:
1 Sc 0.000 0.068 0.250 x4
2 Sc 0.000 0.422 0.250 x4
3 Sc 0.250 0.250 0.000 x8
4 Ga 0.000 0.118 0.750 x4
5 Sn 0.000 0.390 0.750 x4
6 H 0.000 0.284 0.250 x4

---

(12)
This record from the Alexandria database describes a relaxed structure of Tb4Pd3Pt2. The functional is PBE-GGA.

The volume comes out at 192.1 Å³/f.u. Its formation energy is -0.95 eV/atom. The total energy comes out at -6.085 eV per atom.

a = 8.209 Å, b = 4.744 Å, c = 9.867 Å
α = 90.00°, β = 90.01°, γ = 90.00°
Space group C2/m (No. 12)
Inequivalent atoms, fractional coordinates:
1 Tb 0.000 0.000 0.165 x4
2 Tb 0.167 0.500 0.390 x4
3 Pd 0.000 0.000 0.500 x2
4 Pd 0.167 0.500 0.991 x4
5 Pt 0.167 0.500 0.694 x4